The following is a PBE calculation of Sr2YPd2 after structural relaxation, from the Alexandria database.

```
Sr2YPd2
1.0
-0.386 4.215 7.802
-8.736 1.161 -1.059
-0.584 -2.962 1.571
Pd Y Sr
4 2 4
Cartesian
-7.808 2.304 5.127
-3.503 2.404 6.917
-1.898 0.109 3.187
-6.204 0.009 1.397
-4.561 2.688 3.371
0.000 0.000 0.000
-5.882 4.382 6.075
-3.240 0.993 0.668
-7.696 2.542 1.931
-1.426 2.834 4.812
```

Properties
raw total energy	-21.3	eV per formula unit
V	268	Å³/cell
formation energy	-0.219	eV per atom
density	5.91	g/cm³

=====

The following is a PBE calculation of SrY2Pd2 after structural relaxation, from the Alexandria database.

```
SrY2Pd2
1.0
-0.840 4.905 -1.623
-4.332 -1.565 -2.487
-5.575 2.673 2.521
Y Pd Sr
2 2 1
Cartesian
-7.191 4.018 -1.018
-3.555 1.995 -0.571
-4.500 4.624 -0.579
-6.246 1.389 -1.011
0.000 0.000 0.000
```

Properties
raw total energy	-27.0	eV per formula unit
V	152	Å³/cell
formation energy	-0.407	eV per atom
density	5.22	g/cm³

=====

Look up the formation energy of the second one.
-0.407 eV per atom

=====

Among the records above, which one has the highest raw total energy?
Sr2YPd2

=====

Copy entry 2 word for word.
The following is a PBE calculation of SrY2Pd2 after structural relaxation, from the Alexandria database.

```
SrY2Pd2
1.0
-0.840 4.905 -1.623
-4.332 -1.565 -2.487
-5.575 2.673 2.521
Y Pd Sr
2 2 1
Cartesian
-7.191 4.018 -1.018
-3.555 1.995 -0.571
-4.500 4.624 -0.579
-6.246 1.389 -1.011
0.000 0.000 0.000
```

Properties
raw total energy	-27.0	eV per formula unit
V	152	Å³/cell
formation energy	-0.407	eV per atom
density	5.22	g/cm³

=====

Among the records above, which one has the lowest formation energy?
SrY2Pd2